Entry from the Alexandria database: BaMg2Hg after structural relaxation (GGA-PBE).

Cell lengths 3.755, 3.755, 8.508 Å; angles 90.00, 90.00, 90.00 degrees
Space group P4/mmm (No. 123)
One atom of each set of equivalent atoms:
Ba 0.000 0.000 0.000
Mg 0.500 0.500 0.318
Hg 0.000 0.000 0.500

Output
Theoretical density   5.4 Mg/m³
Energy   -1.48 eV/atom
DFT formation energy   -0.122 eV per atom